The following is a PBE-GGA calculation of a relaxed Cu2TeCl2 crystal, from Alexandria via LeMat-Bulk. Values from VASP.

Computed properties:
ρ = 4.5 g cm⁻³
Electronic total energy = -3.35 eV/atom

```
&SYSTEM
  ibrav = 0, nat = 10, ntyp = 3
/
ATOMIC_SPECIES
Cu 63.55 Cu.upf
Te 127.60 Te.upf
Cl 35.45 Cl.upf
CELL_PARAMETERS angstrom
6.293 0.000 0.000
2.075 6.087 0.000
0.685 3.046 6.243
ATOMIC_POSITIONS crystal
Cu 0.002 0.141 0.148
Cu 0.497 0.701 0.168
Cu 0.503 0.299 0.832
Cu 0.998 0.859 0.852
Te 0.278 0.462 0.088
Te 0.722 0.538 0.912
Cl 0.233 0.145 0.804
Cl 0.255 0.815 0.394
Cl 0.745 0.185 0.606
Cl 0.767 0.855 0.196
```

=====

The following is a PBE-GGA calculation of a relaxed Hf2Zr5Sc2 crystal, from Alexandria via LeMat-Bulk. Values from VASP.

Computed properties:
ρ = 7.2 g cm⁻³
Formation energy = 0.033 eV per atom

```
&SYSTEM
  ibrav = 0, nat = 9, ntyp = 3
/
ATOMIC_SPECIES
Hf 178.49 Hf.upf
Zr 91.22 Zr.upf
Sc 44.96 Sc.upf
CELL_PARAMETERS angstrom
3.198 0.000 0.000
-1.592 8.300 0.000
-1.593 -2.800 7.844
ATOMIC_POSITIONS crystal
Hf 0.171 0.337 0.003
Hf 0.829 0.663 0.997
Zr 0.058 0.442 0.676
Zr 0.390 0.112 0.668
Zr 0.500 0.000 0.000
Zr 0.610 0.888 0.332
Zr 0.942 0.558 0.324
Sc 0.276 0.222 0.332
Sc 0.724 0.778 0.668
```

=====

The following is a PBE-GGA calculation of a relaxed SmCuRh crystal, from Alexandria via LeMat-Bulk. Values from VASP.

Computed properties:
ρ = 8.8 g cm⁻³
Formation energy = -0.434 eV per atom

```
&SYSTEM
  ibrav = 0, nat = 3, ntyp = 3
/
ATOMIC_SPECIES
Sm 150.36 Sm.upf
Cu 63.55 Cu.upf
Rh 102.91 Rh.upf
CELL_PARAMETERS angstrom
4.290 0.000 0.000
-2.145 3.715 0.000
0.000 0.000 3.740
ATOMIC_POSITIONS crystal
Sm 0.000 0.000 0.000
Cu 0.667 0.333 0.500
Rh 0.333 0.667 0.500
```

=====

The following is a PBE-GGA calculation of a relaxed BaNaNdPb crystal, from Alexandria via LeMat-Bulk. Values from VASP.

Computed properties:
ρ = 6.0 g cm⁻³
Formation energy = -0.213 eV per atom

```
&SYSTEM
  ibrav = 0, nat = 16, ntyp = 4
/
ATOMIC_SPECIES
Ba 137.33 Ba.upf
Na 22.99 Na.upf
Nd 144.24 Nd.upf
Pb 207.20 Pb.upf
CELL_PARAMETERS angstrom
8.283 0.000 0.000
0.000 8.283 0.000
0.000 0.000 8.283
ATOMIC_POSITIONS crystal
Ba 0.000 0.000 0.000
Ba 0.000 0.500 0.500
Ba 0.500 0.000 0.500
Ba 0.500 0.500 0.000
Na 0.250 0.250 0.750
Na 0.250 0.750 0.250
Na 0.750 0.250 0.250
Na 0.750 0.750 0.750
Nd 0.000 0.000 0.500
Nd 0.000 0.500 0.000
Nd 0.500 0.000 0.000
Nd 0.500 0.500 0.500
Pb 0.250 0.250 0.250
Pb 0.250 0.750 0.750
Pb 0.750 0.250 0.750
Pb 0.750 0.750 0.250
```

=====

Number 1: DOS(E_F) 0.4 states/eV/cell. Number 2: DOS(E_F) 12.5 states/eV/cell. Number 3: DOS(E_F) 2.4 states/eV/cell. Number 4: DOS(E_F) 14.7 states/eV/cell.